*A*
{
  "formula": "TlCdCl2",
  "functional": "PBE",
  "state": "relaxed",
  "total_magnetization_mub_per_cell": 0.000,
  "dos_at_fermi_per_ev_fu": 0.29,
  "lattice_angstrom": [[6.4113, 0.0000, 0.0000], [0.0000, 6.4113, 0.0000], [3.2057, 3.2057, 7.6213]],
  "species": ["Tl", "Tl", "Cl", "Cl", "Cl", "Cl", "Cd", "Cd"],
  "fractional_positions": [[0.0000, 0.0000, 0.0000], [0.7500, 0.2500, 0.5000], [0.5674, 0.1250, 0.2500], [0.1826, 0.6250, 0.2500], [0.3750, 0.4326, 0.7500], [0.8750, 0.8174, 0.7500], [0.5000, 0.5000, 0.0000], [0.2500, 0.7500, 0.5000]]
}

=====

*B*
{
  "formula": "TlCdCl2",
  "functional": "PBE",
  "state": "relaxed",
  "total_magnetization_mub_per_cell": 0.000,
  "dos_at_fermi_per_ev_fu": 1.33,
  "lattice_angstrom": [[-4.7355, -2.6479, -1.0606], [2.5663, -3.1615, -3.7390], [0.8834, 0.4707, 5.4369]],
  "species": ["Tl", "Cl", "Cl", "Cd"],
  "fractional_positions": [[0.7500, 0.2500, 0.5000], [0.0329, 0.0329, 0.0000], [0.4671, 0.4671, 0.0000], [0.2500, 0.7500, 0.5000]]
}

=====

Result of the stability comparison: *B* is the least stable of them.

=====

*A*
{
  "formula": "TlCdCl2",
  "functional": "PBE",
  "state": "relaxed",
  "total_magnetization_mub_per_cell": 0.000,
  "dos_at_fermi_per_ev_fu": 1.12,
  "lattice_angstrom": [[5.3433, 0.0000, 0.0000], [0.0000, 3.9187, 0.0201], [0.0000, 1.9051, 5.9457]],
  "species": ["Tl", "Cl", "Cl", "Cd"],
  "fractional_positions": [[0.0000, 0.5969, 0.4253], [0.0000, 0.8837, 0.8592], [0.5000, 0.1687, 0.2908], [0.5000, 0.8507, 0.9247]]
}

=====

*B*
{
  "formula": "TlCdCl2",
  "functional": "PBE",
  "state": "relaxed",
  "total_magnetization_mub_per_cell": 0.000,
  "dos_at_fermi_per_ev_fu": 2.12,
  "lattice_angstrom": [[-1.7669, -4.9158, -0.1278], [1.1156, -0.2607, -5.3940], [3.4139, -1.2470, 0.7663]],
  "species": ["Tl", "Cl", "Cl", "Cd"],
  "fractional_positions": [[0.5000, 0.0000, 0.5000], [0.0000, 0.0000, 0.0000], [0.5000, 0.5000, 0.0000], [0.0000, 0.5000, 0.5000]]
}

=====

*C*
{
  "formula": "TlCdCl2",
  "functional": "PBE",
  "state": "relaxed",
  "total_magnetization_mub_per_cell": 0.000,
  "dos_at_fermi_per_ev_fu": 2.29,
  "lattice_angstrom": [[-2.8610, -2.3828, -1.5214], [2.4440, -2.8042, -0.2042], [-1.9750, -2.2748, 7.2769]],
  "species": ["Tl", "Cl", "Cl", "Cd"],
  "fractional_positions": [[0.5000, 0.2500, 0.2500], [0.0000, 0.7519, 0.0070], [0.0000, 0.7481, 0.4930], [0.5000, 0.7500, 0.7500]]
}

=====

*D*
{
  "formula": "TlCdCl2",
  "functional": "PBE",
  "state": "relaxed",
  "total_magnetization_mub_per_cell": 0.000,
  "dos_at_fermi_per_ev_fu": 1.24,
  "lattice_angstrom": [[-6.2986, -5.9650, 0.0524], [-3.6288, -7.4312, -2.6203], [-3.0485, -8.0091, 1.3483]],
  "species": ["Tl", "Cl", "Cl", "Cd"],
  "fractional_positions": [[0.4969, 0.4969, 0.4969], [0.0256, 0.0256, 0.0256], [0.2313, 0.2313, 0.2313], [0.7463, 0.7463, 0.7463]]
}

=====

Result of the stability comparison: *B* is the least stable of them.

=====

*A*
{
  "formula": "TlCdCl6",
  "functional": "PBE",
  "state": "relaxed",
  "total_magnetization_mub_per_cell": 1.016,
  "lattice_angstrom": [[-0.5620, -4.7778, -4.6648], [-0.4684, -6.4900, 1.6402], [-6.1158, -2.7630, -0.2559]],
  "species": ["Tl", "Cd", "Cl", "Cl", "Cl", "Cl", "Cl", "Cl"],
  "fractional_positions": [[0.0000, 0.0000, 0.0000], [0.5000, 0.5000, 0.5000], [0.0732, 0.4348, 0.6870], [0.7467, 0.0555, 0.7696], [0.6019, 0.2570, 0.2417], [0.2533, 0.9445, 0.2304], [0.9268, 0.5652, 0.3130], [0.3981, 0.7430, 0.7583]]
}

=====

*B*
{
  "formula": "TlCdCl6",
  "functional": "PBE",
  "state": "relaxed",
  "total_magnetization_mub_per_cell": 0.977,
  "lattice_angstrom": [[7.2614, 0.0500, 1.7501], [3.0097, 4.9970, 3.3063], [0.2475, -0.2481, 6.9488]],
  "species": ["Tl", "Cd", "Cl", "Cl", "Cl", "Cl", "Cl", "Cl"],
  "fractional_positions": [[0.5000, 0.0000, 0.0000], [0.0000, 0.0000, 0.0000], [0.2236, 0.9162, 0.2895], [0.2236, 0.2057, 0.7105], [0.7764, 0.7943, 0.2895], [0.7764, 0.0838, 0.7105], [0.3244, 0.5030, 0.0000], [0.6756, 0.4970, 0.0000]]
}

=====

Result of the stability comparison: *A* is the least stable of them.

=====

*A*
{
  "formula": "Tl2Cd2Cl5",
  "functional": "PBE",
  "state": "relaxed",
  "total_magnetization_mub_per_cell": 0.000,
  "dos_at_fermi_per_ev_fu": 0.13,
  "lattice_angstrom": [[-3.9425, 2.1768, 3.1718], [-0.9742, -7.7573, -0.6702], [5.3684, 2.0164, 5.2891]],
  "species": ["Tl", "Tl", "Cd", "Cd", "Cl", "Cl", "Cl", "Cl", "Cl"],
  "fractional_positions": [[0.3881, 0.7762, 0.6946], [0.6119, 0.2238, 0.3054], [0.1416, 0.2832, 0.8680], [0.8584, 0.7168, 0.1320], [0.3504, 0.7007, 0.0972], [0.6496, 0.2993, 0.9028], [0.1531, 0.3062, 0.5433], [0.8469, 0.6938, 0.4567], [0.0000, 0.0000, 0.0000]]
}

=====

*B*
{
  "formula": "Tl2Cd2Cl5",
  "functional": "PBE",
  "state": "relaxed",
  "total_magnetization_mub_per_cell": 0.000,
  "dos_at_fermi_per_ev_fu": 2.15,
  "lattice_angstrom": [[-2.5509, -4.6290, -1.2473], [-0.6159, -1.0847, 5.2853], [-7.5265, 4.1542, -0.0245]],
  "species": ["Tl", "Tl", "Cd", "Cd", "Cl", "Cl", "Cl", "Cl", "Cl"],
  "fractional_positions": [[0.0000, 0.0000, 0.0000], [0.0000, 0.0000, 0.5000], [0.5000, 0.5000, 0.1910], [0.5000, 0.5000, 0.8090], [0.5000, 0.0000, 0.2138], [0.5000, 0.0000, 0.7862], [0.5000, 0.5000, 0.5000], [0.0000, 0.5000, 0.2138], [0.0000, 0.5000, 0.7862]]
}

=====

Result of the stability comparison: *B* is the least stable of them.

=====

*A*
{
  "formula": "TlCdCl",
  "functional": "PBE",
  "state": "relaxed",
  "total_magnetization_mub_per_cell": 0.000,
  "dos_at_fermi_per_ev_fu": 0.01,
  "lattice_angstrom": [[-6.5802, -0.2674, -0.8873], [-5.7802, -2.5985, 1.9671], [-1.5159, 2.4705, 2.4125]],
  "species": ["Tl", "Cl", "Cd"],
  "fractional_positions": [[0.6766, 0.6766, 0.3234], [0.3341, 0.3350, 0.6650], [0.9894, 0.9884, 0.0116]]
}

=====

*B*
{
  "formula": "TlCdCl",
  "functional": "PBE",
  "state": "relaxed",
  "total_magnetization_mub_per_cell": 0.000,
  "dos_at_fermi_per_ev_fu": 1.23,
  "lattice_angstrom": [[3.6467, 0.0000, 0.0000], [-1.8233, 3.1475, 0.0000], [0.0000, 0.0000, 15.2830]],
  "species": ["Cd", "Cd", "Tl", "Tl", "Cl", "Cl"],
  "fractional_positions": [[0.5558, 0.1116, 0.0000], [0.3319, 0.6638, 0.5000], [0.6675, 0.3350, 0.3322], [0.6675, 0.3350, 0.6678], [0.2220, 0.4439, 0.8901], [0.2220, 0.4439, 0.1099]]
}

=====

Result of the stability comparison: *B* is the least stable of them.

=====

*A*
{
  "formula": "TlCdCl",
  "functional": "PBE",
  "state": "relaxed",
  "total_magnetization_mub_per_cell": 0.000,
  "dos_at_fermi_per_ev_fu": 0.00,
  "lattice_angstrom": [[4.2896, 0.0000, 0.0000], [-2.1448, 3.7149, 0.0000], [0.0000, 0.0000, 6.0966]],
  "species": ["Tl", "Cl", "Cd"],
  "fractional_positions": [[0.3333, 0.6667, 0.6522], [0.6667, 0.3333, 0.3237], [0.0000, 0.0000, 0.0238]]
}

=====

*B*
{
  "formula": "TlCdCl",
  "functional": "PBE",
  "state": "relaxed",
  "total_magnetization_mub_per_cell": 0.000,
  "lattice_angstrom": [[5.3177, 0.0000, 0.0000], [2.6588, 4.6053, 0.0000], [2.6588, 1.5351, 4.3419]],
  "species": ["Tl", "Cl", "Cd"],
  "fractional_positions": [[0.7500, 0.7500, 0.7500], [0.5000, 0.5000, 0.5000], [0.0000, 0.0000, 0.0000]]
}

=====

Result of the stability comparison: *B* is the least stable of them.

=====

*A*
{
  "formula": "Tl3Cd2Cl7",
  "functional": "PBE",
  "state": "relaxed",
  "total_magnetization_mub_per_cell": 0.000,
  "dos_at_fermi_per_ev_fu": 0.00,
  "lattice_angstrom": [[5.2055, 0.0000, 0.0000], [0.0000, 5.3269, 0.0000], [0.0000, -2.6635, 12.9305]],
  "species": ["Tl", "Tl", "Tl", "Cd", "Cd", "Cl", "Cl", "Cl", "Cl", "Cl", "Cl", "Cl"],
  "fractional_positions": [[0.5000, 0.5000, 0.0000], [0.5000, 0.6807, 0.3614], [0.5000, 0.3193, 0.6386], [0.0000, 0.8969, 0.7937], [0.0000, 0.1031, 0.2063], [0.0000, 0.4032, 0.8065], [0.0000, 0.7995, 0.5990], [0.0000, 0.0000, 0.0000], [0.0000, 0.5968, 0.1935], [0.5000, 0.0972, 0.1944], [0.5000, 0.9028, 0.8056], [0.0000, 0.2005, 0.4010]]
}

=====

*B*
{
  "formula": "Tl3Cd2Cl7",
  "functional": "PBE",
  "state": "relaxed",
  "total_magnetization_mub_per_cell": 0.000,
  "dos_at_fermi_per_ev_fu": 0.00,
  "lattice_angstrom": [[-3.4729, 1.1149, -3.8117], [1.8291, -4.0455, -2.8497], [-7.8913, -6.4379, 8.9578]],
  "species": ["Tl", "Tl", "Tl", "Cd", "Cd", "Cl", "Cl", "Cl", "Cl", "Cl", "Cl", "Cl"],
  "fractional_positions": [[0.3196, 0.3196, 0.6393], [0.6804, 0.6804, 0.3607], [0.5000, 0.5000, 0.0000], [0.1017, 0.1017, 0.2034], [0.8983, 0.8983, 0.7966], [0.0000, 0.0000, 0.0000], [0.9037, 0.4037, 0.8073], [0.4037, 0.9037, 0.8073], [0.0963, 0.5963, 0.1927], [0.5963, 0.0963, 0.1927], [0.2000, 0.2000, 0.4000], [0.8000, 0.8000, 0.6000]]
}

=====

Result of the stability comparison: *A* is the least stable of them.

=====

*A*
{
  "formula": "Tl2CdCl8",
  "functional": "PBE",
  "state": "relaxed",
  "total_magnetization_mub_per_cell": 0.000,
  "dos_at_fermi_per_ev_fu": 0.00,
  "lattice_angstrom": [[-2.3191, -4.4364, -4.1856], [-4.5656, -4.1222, 5.0541], [-7.4496, 2.7388, -0.6201]],
  "species": ["Tl", "Tl", "Cd", "Cl", "Cl", "Cl", "Cl", "Cl", "Cl", "Cl", "Cl"],
  "fractional_positions": [[0.6740, 0.7939, 0.7939], [0.3260, 0.2061, 0.2061], [0.0000, 0.0000, 0.0000], [0.2079, 0.2861, 0.9015], [0.7921, 0.0985, 0.7139], [0.2829, 0.8170, 0.8170], [0.7171, 0.1830, 0.1830], [0.2079, 0.9015, 0.2861], [0.7921, 0.7139, 0.0985], [0.7903, 0.6065, 0.6065], [0.2097, 0.3935, 0.3935]]
}

=====

*B*
{
  "formula": "Tl2CdCl8",
  "functional": "PBE",
  "state": "relaxed",
  "total_magnetization_mub_per_cell": 0.000,
  "dos_at_fermi_per_ev_fu": 0.00,
  "lattice_angstrom": [[8.2293, 0.0000, 3.6320], [3.8152, 8.7566, 2.4946], [0.2698, -0.6176, 10.5276]],
  "species": ["Tl", "Tl", "Tl", "Tl", "Cd", "Cd", "Cl", "Cl", "Cl", "Cl", "Cl", "Cl", "Cl", "Cl", "Cl", "Cl", "Cl", "Cl", "Cl", "Cl", "Cl", "Cl"],
  "fractional_positions": [[0.8190, 0.8744, 0.9653], [0.3414, 0.3744, 0.4653], [0.6586, 0.6256, 0.5347], [0.1810, 0.1256, 0.0347], [0.0010, 0.7500, 0.2500], [0.9990, 0.2500, 0.7500], [0.3523, 0.7348, 0.5486], [0.1294, 0.9510, 0.2416], [0.7089, 0.9709, 0.2050], [0.1940, 0.2033, 0.4774], [0.2911, 0.0291, 0.7950], [0.8747, 0.2967, 0.0226], [0.8060, 0.7967, 0.5226], [0.1152, 0.4709, 0.7050], [0.1253, 0.7033, 0.9774], [0.6358, 0.7652, 0.9514], [0.6780, 0.4510, 0.7416], [0.3220, 0.5490, 0.2584], [0.3642, 0.2348, 0.0486], [0.8848, 0.5291, 0.2950], [0.6477, 0.2652, 0.4514], [0.8706, 0.0490, 0.7584]]
}

=====

Result of the stability comparison: *A* is the least stable of them.

=====

*A*
{
  "formula": "Tl2CdCl4",
  "functional": "PBE",
  "state": "relaxed",
  "total_magnetization_mub_per_cell": 0.000,
  "dos_at_fermi_per_ev_fu": 0.00,
  "lattice_angstrom": [[5.2859, 0.0000, 0.0000], [0.0000, 5.2859, 0.0000], [2.6429, 2.6429, 7.8976]],
  "species": ["Tl", "Tl", "Cl", "Cl", "Cl", "Cl", "Cd"],
  "fractional_positions": [[0.3600, 0.3600, 0.2800], [0.6400, 0.6400, 0.7200], [0.1648, 0.1648, 0.6704], [0.8352, 0.8352, 0.3296], [0.0000, 0.5000, 0.0000], [0.5000, 0.0000, 0.0000], [0.0000, 0.0000, 0.0000]]
}

=====

*B*
{
  "formula": "Tl2CdCl4",
  "functional": "PBE",
  "state": "relaxed",
  "total_magnetization_mub_per_cell": 0.000,
  "dos_at_fermi_per_ev_fu": 0.00,
  "lattice_angstrom": [[4.1778, 0.0000, 0.0000], [0.0000, 8.3112, 0.0000], [0.0000, 0.0000, 12.3460]],
  "species": ["Tl", "Tl", "Tl", "Tl", "Cl", "Cl", "Cl", "Cl", "Cl", "Cl", "Cl", "Cl", "Cd", "Cd"],
  "fractional_positions": [[0.5000, 0.9207, 0.8201], [0.5000, 0.0793, 0.1799], [0.5000, 0.4207, 0.6799], [0.5000, 0.5793, 0.3201], [0.0000, 0.6339, 0.8093], [0.0000, 0.3661, 0.1907], [0.0000, 0.1339, 0.6907], [0.0000, 0.8661, 0.3093], [0.5000, 0.8064, 0.5635], [0.5000, 0.1936, 0.4365], [0.5000, 0.6936, 0.0635], [0.5000, 0.3064, 0.9365], [0.0000, 0.0000, 0.5000], [0.0000, 0.5000, 0.0000]]
}

=====

Result of the stability comparison: *A* is the least stable of them.

=====

*A*
{
  "formula": "VCd2Cl",
  "functional": "PBE",
  "state": "relaxed",
  "total_magnetization_mub_per_cell": 3.871,
  "dos_at_fermi_per_ev_fu": 6.17,
  "lattice_angstrom": [[4.5153, -0.7549, 2.2193], [0.2945, -2.6579, 4.3281], [2.0909, -4.6380, -0.0003]],
  "species": ["Cd", "Cd", "V", "Cl"],
  "fractional_positions": [[0.2500, 0.2500, 0.2500], [0.7500, 0.7500, 0.7500], [0.5000, 0.5000, 0.5000], [0.0000, 0.0000, 0.0000]]
}

=====

*B*
{
  "formula": "VCd2Cl",
  "functional": "PBE",
  "state": "relaxed",
  "total_magnetization_mub_per_cell": 7.206,
  "dos_at_fermi_per_ev_fu": 2.44,
  "lattice_angstrom": [[8.1781, 0.0000, 0.0000], [0.0000, 8.1781, 0.0000], [4.0890, 4.0890, 2.7779]],
  "species": ["Cd", "Cd", "Cd", "Cd", "V", "V", "Cl", "Cl"],
  "fractional_positions": [[0.6314, 0.1250, 0.2500], [0.1186, 0.6250, 0.2500], [0.3750, 0.3686, 0.7500], [0.8750, 0.8814, 0.7500], [0.0000, 0.0000, 0.0000], [0.7500, 0.2500, 0.5000], [0.5000, 0.5000, 0.0000], [0.2500, 0.7500, 0.5000]]
}

=====

Result of the stability comparison: *A* is the least stable of them.

=====

*A*
{
  "formula": "VCd3Cl",
  "functional": "PBE",
  "state": "relaxed",
  "total_magnetization_mub_per_cell": 3.937,
  "dos_at_fermi_per_ev_fu": 8.08,
  "lattice_angstrom": [[5.4558, 0.0000, 0.0000], [0.0000, 5.4558, 0.0000], [0.0000, 0.0000, 5.4558]],
  "species": ["Cd", "Cd", "Cd", "V", "Cl"],
  "fractional_positions": [[0.0000, 0.5000, 0.0000], [0.0000, 0.0000, 0.5000], [0.5000, 0.0000, 0.0000], [0.0000, 0.0000, 0.0000], [0.5000, 0.5000, 0.5000]]
}

=====

*B*
{
  "formula": "VCd3Cl",
  "functional": "PBE",
  "state": "relaxed",
  "total_magnetization_mub_per_cell": 3.508,
  "dos_at_fermi_per_ev_fu": 4.48,
  "lattice_angstrom": [[5.2759, 0.0000, 0.0000], [0.0000, 5.2759, 0.0000], [0.0000, 0.0000, 5.2759]],
  "species": ["Cd", "Cd", "Cd", "V", "Cl"],
  "fractional_positions": [[0.0000, 0.5000, 0.0000], [0.0000, 0.0000, 0.5000], [0.5000, 0.0000, 0.0000], [0.5000, 0.5000, 0.5000], [0.0000, 0.0000, 0.0000]]
}

=====

Result of the stability comparison: *B* is the least stable of them.